# 1
A relaxed structure of SrBeH3, computed with GGA-PBE.

Energy above the most stable polymorph in this dataset, meV/atom: 0.0
Crystal system: cubic
Electronic total energy, eV per atom: -3.170
N(E_F), states/eV/cell: 2.28

Cell: 3.6832 3.6832 3.6832 Å, 90.00 90.00 90.00°
Fractional coordinates of all 5 atoms:
Sr1 0.5000 0.5000 0.5000
H1 0.0000 0.5000 0.0000
H2 0.0000 0.0000 0.5000
H3 0.5000 0.0000 0.0000
Be1 0.0000 0.0000 0.0000

# 2
A relaxed structure of Sr2BeH, computed with GGA-PBE.

Energy above the most stable polymorph in this dataset, meV/atom: 14.2
Crystal system: tetragonal
Electronic total energy, eV per atom: -2.370
N(E_F), states/eV/cell: 2.90

Cell: 7.2159 7.2159 6.6128 Å, 56.93 56.93 90.00°
Fractional coordinates of all 8 atoms:
Sr1 0.5582 0.1250 0.2500
Sr2 0.1918 0.6250 0.2500
Sr3 0.3750 0.4418 0.7500
Sr4 0.8750 0.8082 0.7500
H1 0.5000 0.5000 0.0000
H2 0.2500 0.7500 0.5000
Be1 0.0000 0.0000 0.0000
Be2 0.7500 0.2500 0.5000

# 3
A relaxed structure of Sr2BeH, computed with GGA-PBE.

Energy above the most stable polymorph in this dataset, meV/atom: 194.7
Crystal system: cubic
Electronic total energy, eV per atom: -2.190
N(E_F), states/eV/cell: 5.46

Cell: 5.2185 5.2185 5.2185 Å, 60.00 60.00 60.00°
Fractional coordinates of all 4 atoms:
Sr1 0.2500 0.2500 0.2500
Sr2 0.7500 0.7500 0.7500
H1 0.0000 0.0000 0.0000
Be1 0.5000 0.5000 0.5000

# 4
A relaxed structure of SrBeH4, computed with GGA-PBE.

Energy above the most stable polymorph in this dataset, meV/atom: 235.8
Crystal system: monoclinic
Electronic total energy, eV per atom: -3.321
N(E_F), states/eV/cell: 0.00

Cell: 4.2065 6.8240 5.5368 Å, 117.65 97.64 113.63°
Fractional coordinates of all 12 atoms:
Sr1 0.4045 0.6545 0.3089
Sr2 0.5955 0.3455 0.6911
Be1 0.2571 0.0071 0.0142
Be2 0.7429 0.9929 0.9858
H1 0.0143 0.1982 0.7969
H2 0.8541 0.8127 0.7880
H3 0.2826 0.5987 0.7969
H4 0.4338 0.9752 0.7880
H5 0.5662 0.0248 0.2120
H6 0.7174 0.4013 0.2031
H7 0.1459 0.1873 0.2120
H8 0.9857 0.8018 0.2031

# 5
A relaxed structure of SrBeH, computed with GGA-PBE.

Crystal system: orthorhombic
Electronic total energy, eV per atom: -2.968
N(E_F), states/eV/cell: 3.51

Cell: 4.1125 8.4653 7.1410 Å, 90.00 90.00 104.06°
Fractional coordinates of all 12 atoms:
Sr1 0.8658 0.7317 0.4916
Sr2 0.6342 0.2683 0.9916
Sr3 0.1342 0.2683 0.5084
Sr4 0.3658 0.7317 0.0084
H1 0.3075 0.1150 0.2500
H2 0.1925 0.8850 0.7500
H3 0.6925 0.8850 0.7500
H4 0.8075 0.1150 0.2500
Be1 0.5029 0.0058 0.3422
Be2 0.9971 0.9942 0.8422
Be3 0.4971 0.9942 0.6578
Be4 0.0029 0.0058 0.1578

# 6
A relaxed structure of Sr2BeH, computed with GGA-PBE.

Energy above the most stable polymorph in this dataset, meV/atom: 0.0
Crystal system: trigonal
Electronic total energy, eV per atom: -2.384
N(E_F), states/eV/cell: 3.85

Cell: 4.1246 4.1246 7.5894 Å, 74.23 74.23 60.00°
Fractional coordinates of all 4 atoms:
Sr1 0.2415 0.2415 0.2754
Sr2 0.7585 0.7585 0.7246
H1 0.5000 0.5000 0.5000
Be1 0.0000 0.0000 0.0000

# 7
A relaxed structure of SrBe2H7, computed with GGA-PBE.

Crystal system: orthorhombic
Electronic total energy, eV per atom: -3.210
N(E_F), states/eV/cell: 1.68

Cell: 3.4549 5.1243 5.1243 Å, 124.79 90.00 90.00°
Fractional coordinates of all 10 atoms:
Sr1 0.0000 0.0000 0.0000
Be1 0.5000 0.7000 0.3000
Be2 0.5000 0.3000 0.7000
H1 0.0000 0.7062 0.2938
H2 0.0000 0.2938 0.7062
H3 0.5000 0.0650 0.3468
H4 0.5000 0.9350 0.6532
H5 0.5000 0.3468 0.0650
H6 0.5000 0.6532 0.9350
H7 0.5000 0.5000 0.5000

# 8
A relaxed structure of Sr2BeH2, computed with GGA-PBE.

Energy above the most stable polymorph in this dataset, meV/atom: 0.0
Crystal system: tetragonal
Electronic total energy, eV per atom: -2.721
N(E_F), states/eV/cell: 1.92

Cell: 5.3323 5.3323 5.3516 Å, 60.12 60.12 90.00°
Fractional coordinates of all 5 atoms:
Sr1 0.7500 0.2500 0.5000
Sr2 0.2500 0.7500 0.5000
H1 0.1891 0.1891 0.6217
H2 0.8109 0.8109 0.3783
Be1 0.0000 0.0000 0.0000

- What is the N(E_F) in the eighth record?
  1.92 states/eV/cell